Computed, not measured: a geometry-optimized SrPaSe2 structure at the PBE level of DFT.

Cell and atoms, written as extended XYZ:
```
4
Lattice="2.0527 1.1851 7.3939 -2.0527 1.1851 7.3939 0.0000 -2.3703 7.3939" Properties=species:S:1:pos:R:3 pbc="T T T"
Sr 0.0000 0.0000 0.0000
Pa 0.0000 0.0000 11.0909
Se 0.0000 0.0000 5.4531
Se 0.0000 0.0000 16.7286
```

Computed properties:
* symmetry: R-3m
* E_form (uncorrected): -1.486 eV/atom
* magnetization: 1.6 Bohr magnetons per cell